1.
A relaxed structure of Mn2AsIr. Source: Alexandria, functional PBE.

a b c (Å): 3.636 2.920 5.525
angles (deg): 74.72 90.00 90.00
Site moments in Bohr magnetons follow the coordinates.
Fractional positions:
As (0.000, 0.711, 0.453)  -0.10
Ir (0.500, 0.552, 0.772)  0.02
Mn (0.500, 0.297, 0.281)  2.51
Mn (0.000, 0.940, 0.994)  2.96

Summary:
Space-group type   Amm2
Crystal system   orthorhombic
Energy relative to the elements   -0.048 eV per atom
DOS(E_F)   0.84 states/eV/atom
Mass density   11.06 g cm⁻³
V   57 Å³/cell



2.
A relaxed structure of Pr12Er7Mg. Source: Alexandria, functional PBE.

a b c (Å): 9.402 9.402 9.402
angles (deg): 107.58 107.58 107.58
Fractional positions:
Er (0.315, 0.005, 0.896)
Pr (0.940, 0.708, 0.601)
Pr (0.325, 0.619, 0.782)
Pr (0.399, 0.060, 0.292)
Er (0.104, 0.685, 0.995)
Pr (0.381, 0.218, 0.675)
Pr (0.292, 0.399, 0.060)
Er (0.995, 0.104, 0.685)
Er (0.685, 0.995, 0.104)
Pr (0.782, 0.325, 0.619)
Mg (0.000, 0.000, 0.000)
Er (0.500, 0.500, 0.500)
Pr (0.675, 0.381, 0.218)
Pr (0.601, 0.940, 0.708)
Er (0.896, 0.315, 0.005)
Pr (0.218, 0.675, 0.381)
Pr (0.619, 0.782, 0.325)
Pr (0.708, 0.601, 0.940)
Er (0.005, 0.896, 0.315)
Pr (0.060, 0.292, 0.399)

Summary:
Space-group type   R-3
Crystal system   trigonal
Energy relative to the elements   0.132 eV per atom
DOS(E_F)   1.77 states/eV/atom
Mass density   7.04 g cm⁻³
V   681 Å³/cell



3.
A relaxed structure of KBaW2. Source: Alexandria, functional PBE.

a b c (Å): 4.641 4.641 9.896
angles (deg): 87.32 87.32 40.63
Fractional positions:
K (0.260, 0.260, 0.166)
W (0.016, 0.016, 0.897)
Ba (0.489, 0.489, 0.596)
W (0.736, 0.736, 0.841)

Summary:
Space-group type   Cm
Crystal system   monoclinic
Energy relative to the elements   1.090 eV per atom
DOS(E_F)   0.75 states/eV/atom
Mass density   6.52 g cm⁻³
V   139 Å³/cell